(1)
The following is a PBE calculation of a relaxed structure of ThFeB, from OQMD.

```
3
Lattice="0.000 2.949 2.949 2.949 0.000 2.949 2.949 2.949 0.000" Properties=species:S:1:pos:R:3 pbc="T T T"
B 1.474 1.474 1.474
Th 4.423 4.423 4.423
Fe 0.000 0.000 0.000
```

Calculated values
* theoretical density: 9.7 g/cm3
* calculated total energy: -7.018 eV per atom
* space group: F-43m



(2)
The following is a PBE calculation of a relaxed structure of Th2Fe14B, from OQMD.

```
68
Lattice="8.767 0.000 0.000 0.000 8.767 0.000 0.000 0.000 12.060" Properties=species:S:1:pos:R:3 pbc="T T T"
Fe 7.906 7.906 2.424
Fe 5.978 5.978 2.969
Fe 3.523 5.245 8.454
Fe 8.182 6.351 4.485
B 5.443 3.325 0.000
Fe 7.173 1.594 3.060
Fe 0.586 2.417 4.485
Th 3.101 3.101 6.030
Fe 4.054 7.536 3.911
Fe 7.906 7.906 9.635
Fe 0.000 0.000 4.608
Fe 1.594 7.173 3.060
Fe 5.978 5.978 9.090
Fe 4.384 4.384 10.638
Fe 6.800 3.798 1.544
Fe 0.329 3.152 2.119
Fe 3.152 0.329 2.119
Fe 8.438 5.616 2.119
Fe 0.329 3.152 9.941
Fe 3.798 6.800 1.544
Fe 2.789 2.789 2.969
Fe 0.861 0.861 2.424
Th 6.774 1.994 6.030
Fe 1.967 4.969 10.515
Fe 0.000 4.384 0.000
Fe 4.054 7.536 8.148
Th 1.283 7.485 0.000
Fe 5.616 8.438 9.941
Fe 4.384 0.000 0.000
Th 1.994 6.774 6.030
Fe 0.000 4.384 6.030
Fe 1.232 4.713 3.911
Fe 4.713 1.232 3.911
B 1.059 1.059 6.030
Fe 6.351 8.182 4.485
Fe 1.594 7.173 8.999
Fe 7.536 4.054 3.911
B 7.709 7.709 6.030
Fe 6.351 8.182 7.574
Fe 1.967 4.969 1.544
Fe 6.800 3.798 10.515
Fe 4.384 4.384 1.422
Fe 4.969 1.967 10.515
Fe 0.861 0.861 9.635
Fe 5.245 3.523 8.454
Fe 4.969 1.967 1.544
Th 7.485 1.283 0.000
Fe 2.789 2.789 9.090
Fe 2.417 0.586 4.485
B 3.325 5.443 0.000
Fe 4.713 1.232 8.148
Fe 5.616 8.438 2.119
Fe 5.245 3.523 3.605
Th 6.377 6.377 0.000
Fe 3.152 0.329 9.941
Fe 2.417 0.586 7.574
Th 2.390 2.390 0.000
Fe 0.000 0.000 7.452
Fe 3.798 6.800 10.515
Fe 1.232 4.713 8.148
Fe 7.536 4.054 8.148
Fe 7.173 1.594 8.999
Fe 4.384 0.000 6.030
Th 5.667 5.667 6.030
Fe 8.438 5.616 9.941
Fe 0.586 2.417 7.574
Fe 8.182 6.351 7.574
Fe 3.523 5.245 3.605
```

Calculated values
* theoretical density: 9.0 g/cm3
* calculated total energy: -8.211 eV per atom
* space group: P4_2/mnm



(3)
The following is a PBE calculation of a relaxed structure of Th2Fe14B, from OQMD.

```
68
Lattice="8.767 0.000 0.000 0.000 8.767 0.000 0.000 0.000 12.044" Properties=species:S:1:pos:R:3 pbc="T T T"
Fe 3.797 1.967 7.565
Fe 5.978 2.789 8.988
Th 2.390 6.377 6.022
Fe 8.181 2.416 10.501
Fe 7.534 4.713 2.117
B 5.443 5.443 6.022
Fe 3.151 8.436 3.905
Fe 4.383 0.000 0.000
Fe 2.789 5.978 8.988
Fe 8.436 3.151 8.139
Fe 1.232 4.053 2.117
Fe 5.616 0.330 8.139
Th 5.666 3.101 0.000
Fe 3.524 3.524 9.623
Fe 0.000 4.383 0.000
Fe 0.586 6.350 10.501
Th 6.377 2.390 6.022
Th 3.101 5.666 0.000
Fe 1.594 1.594 2.966
Fe 6.350 0.586 1.543
Fe 2.416 8.181 1.543
Fe 1.967 3.797 4.479
Fe 0.000 0.000 1.416
Fe 1.232 4.053 9.927
Fe 4.383 4.383 4.606
Fe 0.000 0.000 10.628
B 1.060 7.707 0.000
Th 7.484 7.484 6.022
Fe 1.967 3.797 7.565
Fe 5.978 2.789 3.056
Fe 4.383 4.383 7.438
B 7.707 1.060 0.000
Fe 0.330 5.616 8.139
Th 1.283 1.283 6.022
Fe 7.172 7.172 9.078
Fe 0.860 7.907 3.601
Th 6.773 6.773 0.000
Fe 3.524 3.524 2.421
Fe 1.594 1.594 9.078
Fe 3.797 1.967 4.479
Fe 2.789 5.978 3.056
Fe 7.172 7.172 2.966
Fe 4.053 1.232 2.117
Fe 4.383 0.000 6.022
Fe 0.860 7.907 8.443
B 3.324 3.324 6.022
Fe 2.416 8.181 10.501
Fe 5.616 0.330 3.905
Fe 7.907 0.860 8.443
Fe 5.243 5.243 9.623
Fe 8.181 2.416 1.543
Fe 4.713 7.534 9.927
Fe 6.800 4.969 4.479
Fe 4.969 6.800 4.479
Fe 5.243 5.243 2.421
Fe 6.350 0.586 10.501
Fe 7.534 4.713 9.927
Fe 0.000 4.383 6.022
Fe 4.969 6.800 7.565
Fe 4.713 7.534 2.117
Fe 0.330 5.616 3.905
Fe 6.800 4.969 7.565
Fe 0.586 6.350 1.543
Fe 7.907 0.860 3.601
Fe 8.436 3.151 3.905
Fe 3.151 8.436 8.139
Fe 4.053 1.232 9.927
Th 1.993 1.993 0.000
```

Calculated values
* theoretical density: 9.0 g/cm3
* calculated total energy: -8.211 eV per atom
* space group: P4_2/mnm



(4)
The following is a PBE calculation of a relaxed structure of ThFeB, from OQMD.

```
3
Lattice="0.000 3.001 3.001 3.001 0.000 3.001 3.001 3.001 0.000" Properties=species:S:1:pos:R:3 pbc="T T T"
Th 4.502 4.502 4.502
Fe 1.501 1.501 1.501
B 0.000 0.000 0.000
```

Calculated values
* theoretical density: 9.2 g/cm3
* calculated total energy: -7.228 eV per atom
* space group: F-43m



(5)
The following is a PBE calculation of a relaxed structure of Th2FeB10, from OQMD.

```
26
Lattice="-4.900 2.751 -0.090 -1.780 -2.819 10.721 1.934 3.487 1.238" Properties=species:S:1:pos:R:3 pbc="T T T"
B -4.716 1.491 3.170
B -2.788 3.293 4.945
B -1.900 0.914 0.395
B 0.148 2.686 2.068
B -0.527 -0.420 2.005
B -0.628 1.288 1.571
B -3.563 1.894 4.449
B -4.603 -0.482 8.550
Fe 0.000 0.000 0.000
B -3.200 0.602 3.303
Th -0.715 1.279 4.555
B -6.154 0.351 8.625
B -5.098 1.105 4.853
B -1.582 -1.174 5.778
B -4.894 0.732 9.801
B -1.183 1.524 7.420
B -3.481 -0.671 7.328
Fe -3.340 -0.034 5.315
B -1.964 -1.559 7.460
Th -2.742 3.325 1.961
Th -4.031 2.139 7.314
B -1.959 0.125 6.924
B -4.780 -0.983 10.236
B -2.078 0.414 2.081
Th -2.004 0.093 9.908
B -4.118 2.130 10.298
```

Calculated values
* theoretical density: 7.9 g/cm3
* calculated total energy: -7.527 eV per atom
* space group: Pbam



(6)
The following is a PBE calculation of a relaxed structure of TlFeB2, from OQMD.

```
4
Lattice="2.882 -2.949 0.967 2.921 0.786 2.964 -0.181 -1.994 3.732" Properties=species:S:1:pos:R:3 pbc="T T T"
Tl 1.406 -1.039 1.916
B 0.000 0.000 0.000
Fe 2.811 -2.078 3.832
B 4.217 -3.117 5.748
```

Calculated values
* theoretical density: 8.7 g/cm3
* calculated total energy: -4.125 eV per atom
* space group: F-43m



(7)
The following is a PBE calculation of a relaxed structure of Tl2FeB, from OQMD.

```
4
Lattice="-2.525 -2.711 3.061 -4.685 0.847 0.658 -3.262 -3.109 -1.672" Properties=species:S:1:pos:R:3 pbc="T T T"
Fe -2.618 -1.243 0.512
Tl -7.854 -3.730 1.535
Tl 0.000 0.000 0.000
B -5.236 -2.487 1.023
```

Calculated values
* theoretical density: 10.1 g/cm3
* calculated total energy: -3.501 eV per atom
* space group: F-43m



(8)
The following is a PBE calculation of a relaxed structure of TmFeB4, from OQMD.

```
6
Lattice="-1.565 2.634 3.460 1.565 -2.634 3.460 1.565 2.634 -3.460" Properties=species:S:1:pos:R:3 pbc="T T T"
Tm 0.000 0.000 3.460
Fe 0.000 0.000 0.000
B 0.000 3.507 1.736
B 1.565 0.872 1.724
B 1.565 -0.872 1.724
B 0.000 1.762 1.736
```

Calculated values
* theoretical density: 7.8 g/cm3
* calculated total energy: -6.862 eV per atom
* space group: Immm



Number 1: V 17.09 A^3/atom. Number 2: V 13.63 A^3/atom. Number 3: V 13.61 A^3/atom. Number 4: V 18.02 A^3/atom. Number 5: V 10.13 A^3/atom. Number 6: V 13.43 A^3/atom. Number 7: V 19.62 A^3/atom. Number 8: V 9.51 A^3/atom.